(a)
# NbVPS2 | the Alexandria database | PBE-GGA | relaxed
data_NbVPS2
_space_group_name_H-M_alt 'P 1'
_space_group_IT_number 1
_cell_length_a 4.471
_cell_length_b 4.471
_cell_length_c 4.628
_cell_angle_alpha 90.00
_cell_angle_beta 90.00
_cell_angle_gamma 90.00
loop_
_space_group_symop_operation_xyz
'x,y,z'
loop_
_atom_site_label
_atom_site_type_symbol
_atom_site_fract_x
_atom_site_fract_y
_atom_site_fract_z
_atom_site_occupancy
P1 P 0.000 0.000 0.500 1
Nb1 Nb 0.500 0.500 0.500 1
S1 S 0.000 0.500 0.000 1
S2 S 0.500 0.000 0.000 1
V1 V 0.000 0.000 0.000 1
# Crystal system = tetragonal

(b)
# NbVPS2 | the Alexandria database | PBE-GGA | relaxed
data_NbVPS2
_space_group_name_H-M_alt 'P 1'
_space_group_IT_number 1
_cell_length_a 4.714
_cell_length_b 4.714
_cell_length_c 4.915
_cell_angle_alpha 90.00
_cell_angle_beta 90.00
_cell_angle_gamma 90.00
loop_
_space_group_symop_operation_xyz
'x,y,z'
loop_
_atom_site_label
_atom_site_type_symbol
_atom_site_fract_x
_atom_site_fract_y
_atom_site_fract_z
_atom_site_occupancy
P1 P 0.000 0.000 0.500 1
Nb1 Nb 0.000 0.000 0.000 1
S1 S 0.000 0.500 0.000 1
S2 S 0.500 0.000 0.000 1
V1 V 0.500 0.500 0.500 1
# Crystal system = tetragonal

Preferred: (a); penalty for the next structure: 0.218 eV/atom.

(a)
# NbVP2S | the Alexandria database | PBE-GGA | relaxed
data_NbVP2S
_space_group_name_H-M_alt 'P 1'
_space_group_IT_number 1
_cell_length_a 4.818
_cell_length_b 4.818
_cell_length_c 4.686
_cell_angle_alpha 90.00
_cell_angle_beta 90.00
_cell_angle_gamma 90.00
loop_
_space_group_symop_operation_xyz
'x,y,z'
loop_
_atom_site_label
_atom_site_type_symbol
_atom_site_fract_x
_atom_site_fract_y
_atom_site_fract_z
_atom_site_occupancy
P1 P 0.000 0.500 0.000 1
P2 P 0.500 0.000 0.000 1
Nb1 Nb 0.000 0.000 0.000 1
S1 S 0.000 0.000 0.500 1
V1 V 0.500 0.500 0.500 1
# Crystal system = tetragonal

(b)
# NbVP2S | the Alexandria database | PBE-GGA | relaxed
data_NbVP2S
_space_group_name_H-M_alt 'P 1'
_space_group_IT_number 1
_cell_length_a 4.507
_cell_length_b 4.507
_cell_length_c 4.488
_cell_angle_alpha 90.00
_cell_angle_beta 90.00
_cell_angle_gamma 90.00
loop_
_space_group_symop_operation_xyz
'x,y,z'
loop_
_atom_site_label
_atom_site_type_symbol
_atom_site_fract_x
_atom_site_fract_y
_atom_site_fract_z
_atom_site_occupancy
P1 P 0.000 0.500 0.000 1
P2 P 0.500 0.000 0.000 1
Nb1 Nb 0.500 0.500 0.500 1
S1 S 0.000 0.000 0.500 1
V1 V 0.000 0.000 0.000 1
# Crystal system = tetragonal

Preferred: (b); penalty for the next structure: 0.283 eV/atom.

(a)
# YNbP2S | the Alexandria database | PBE-GGA | relaxed
data_YNbP2S
_space_group_name_H-M_alt 'P 1'
_space_group_IT_number 1
_cell_length_a 4.824
_cell_length_b 4.824
_cell_length_c 4.746
_cell_angle_alpha 90.00
_cell_angle_beta 90.00
_cell_angle_gamma 90.00
loop_
_space_group_symop_operation_xyz
'x,y,z'
loop_
_atom_site_label
_atom_site_type_symbol
_atom_site_fract_x
_atom_site_fract_y
_atom_site_fract_z
_atom_site_occupancy
Y1 Y 0.500 0.500 0.500 1
P1 P 0.000 0.500 0.000 1
P2 P 0.500 0.000 0.000 1
Nb1 Nb 0.000 0.000 0.000 1
S1 S 0.000 0.000 0.500 1
# Crystal system = tetragonal

(b)
# YNbP2S | the Alexandria database | PBE-GGA | relaxed
data_YNbP2S
_space_group_name_H-M_alt 'P 1'
_space_group_IT_number 1
_cell_length_a 5.100
_cell_length_b 5.100
_cell_length_c 4.985
_cell_angle_alpha 90.00
_cell_angle_beta 90.00
_cell_angle_gamma 90.00
loop_
_space_group_symop_operation_xyz
'x,y,z'
loop_
_atom_site_label
_atom_site_type_symbol
_atom_site_fract_x
_atom_site_fract_y
_atom_site_fract_z
_atom_site_occupancy
Y1 Y 0.000 0.000 0.000 1
P1 P 0.000 0.500 0.000 1
P2 P 0.500 0.000 0.000 1
Nb1 Nb 0.500 0.500 0.500 1
S1 S 0.000 0.000 0.500 1
# Crystal system = tetragonal

Preferred: (a); penalty for the next structure: 1.367 eV/atom.

(a)
# NbZnPS2 | the Alexandria database | PBE-GGA | relaxed
data_NbZnPS2
_space_group_name_H-M_alt 'P 1'
_space_group_IT_number 1
_cell_length_a 4.543
_cell_length_b 4.543
_cell_length_c 4.521
_cell_angle_alpha 90.00
_cell_angle_beta 90.00
_cell_angle_gamma 90.00
loop_
_space_group_symop_operation_xyz
'x,y,z'
loop_
_atom_site_label
_atom_site_type_symbol
_atom_site_fract_x
_atom_site_fract_y
_atom_site_fract_z
_atom_site_occupancy
S1 S 0.000 0.500 0.000 1
S2 S 0.500 0.000 0.000 1
P1 P 0.000 0.000 0.500 1
Nb1 Nb 0.500 0.500 0.500 1
Zn1 Zn 0.000 0.000 0.000 1
# Crystal system = tetragonal

(b)
# NbZnPS2 | the Alexandria database | PBE-GGA | relaxed
data_NbZnPS2
_space_group_name_H-M_alt 'P 1'
_space_group_IT_number 1
_cell_length_a 4.752
_cell_length_b 4.752
_cell_length_c 5.000
_cell_angle_alpha 90.00
_cell_angle_beta 90.00
_cell_angle_gamma 90.00
loop_
_space_group_symop_operation_xyz
'x,y,z'
loop_
_atom_site_label
_atom_site_type_symbol
_atom_site_fract_x
_atom_site_fract_y
_atom_site_fract_z
_atom_site_occupancy
S1 S 0.000 0.500 0.000 1
S2 S 0.500 0.000 0.000 1
P1 P 0.000 0.000 0.500 1
Nb1 Nb 0.000 0.000 0.000 1
Zn1 Zn 0.500 0.500 0.500 1
# Crystal system = tetragonal

Preferred: (b); penalty for the next structure: 0.736 eV/atom.

(a)
# NbZnP2S | the Alexandria database | PBE-GGA | relaxed
data_NbZnP2S
_space_group_name_H-M_alt 'P 1'
_space_group_IT_number 1
_cell_length_a 4.508
_cell_length_b 4.508
_cell_length_c 4.632
_cell_angle_alpha 90.00
_cell_angle_beta 90.00
_cell_angle_gamma 90.00
loop_
_space_group_symop_operation_xyz
'x,y,z'
loop_
_atom_site_label
_atom_site_type_symbol
_atom_site_fract_x
_atom_site_fract_y
_atom_site_fract_z
_atom_site_occupancy
S1 S 0.000 0.000 0.500 1
P1 P 0.000 0.500 0.000 1
P2 P 0.500 0.000 0.000 1
Nb1 Nb 0.500 0.500 0.500 1
Zn1 Zn 0.000 0.000 0.000 1
# Crystal system = tetragonal

(b)
# NbZnP2S | the Alexandria database | PBE-GGA | relaxed
data_NbZnP2S
_space_group_name_H-M_alt 'P 1'
_space_group_IT_number 1
_cell_length_a 4.888
_cell_length_b 4.734
_cell_length_c 4.888
_cell_angle_alpha 90.00
_cell_angle_beta 90.00
_cell_angle_gamma 90.00
loop_
_space_group_symop_operation_xyz
'x,y,z'
loop_
_atom_site_label
_atom_site_type_symbol
_atom_site_fract_x
_atom_site_fract_y
_atom_site_fract_z
_atom_site_occupancy
S1 S 0.000 0.500 0.000 1
P1 P 0.000 0.000 0.500 1
P2 P 0.500 0.000 0.000 1
Nb1 Nb 0.000 0.000 0.000 1
Zn1 Zn 0.500 0.500 0.500 1
# Crystal system = tetragonal

Preferred: (b); penalty for the next structure: 0.623 eV/atom.

(a)
# NbSbP | the Alexandria database | PBE-GGA | relaxed
data_NbSbP
_space_group_name_H-M_alt 'P 1'
_space_group_IT_number 1
_cell_length_a 3.751
_cell_length_b 3.751
_cell_length_c 7.997
_cell_angle_alpha 90.00
_cell_angle_beta 90.00
_cell_angle_gamma 90.00
loop_
_space_group_symop_operation_xyz
'x,y,z'
loop_
_atom_site_label
_atom_site_type_symbol
_atom_site_fract_x
_atom_site_fract_y
_atom_site_fract_z
_atom_site_occupancy
Nb1 Nb 0.000 0.500 0.272 1
Nb2 Nb 0.500 0.000 0.728 1
Sb1 Sb 0.000 0.500 0.880 1
Sb2 Sb 0.500 0.000 0.120 1
P1 P 0.000 0.000 0.500 1
P2 P 0.500 0.500 0.500 1
# Crystal system = tetragonal

(b)
# NbSbP | the Alexandria database | PBE-GGA | relaxed
data_NbSbP
_space_group_name_H-M_alt 'P 1'
_space_group_IT_number 1
_cell_length_a 13.443
_cell_length_b 3.445
_cell_length_c 5.054
_cell_angle_alpha 90.00
_cell_angle_beta 90.00
_cell_angle_gamma 90.00
loop_
_space_group_symop_operation_xyz
'x,y,z'
loop_
_atom_site_label
_atom_site_type_symbol
_atom_site_fract_x
_atom_site_fract_y
_atom_site_fract_z
_atom_site_occupancy
Nb1 Nb 0.109 0.500 0.000 1
Nb2 Nb 0.891 0.500 0.000 1
Nb3 Nb 0.609 0.000 0.500 1
Nb4 Nb 0.391 0.000 0.500 1
Sb1 Sb 0.284 0.000 0.000 1
Sb2 Sb 0.716 0.000 0.000 1
Sb3 Sb 0.784 0.500 0.500 1
Sb4 Sb 0.216 0.500 0.500 1
P1 P 0.000 0.000 0.266 1
P2 P 0.000 0.000 0.734 1
P3 P 0.500 0.500 0.766 1
P4 P 0.500 0.500 0.234 1
# Crystal system = orthorhombic

(c)
# NbSbP | the Alexandria database | PBE-GGA | relaxed
data_NbSbP
_space_group_name_H-M_alt 'P 1'
_space_group_IT_number 1
_cell_length_a 7.787
_cell_length_b 3.560
_cell_length_c 9.888
_cell_angle_alpha 90.00
_cell_angle_beta 122.63
_cell_angle_gamma 90.00
loop_
_space_group_symop_operation_xyz
'x,y,z'
loop_
_atom_site_label
_atom_site_type_symbol
_atom_site_fract_x
_atom_site_fract_y
_atom_site_fract_z
_atom_site_occupancy
Nb1 Nb 0.767 0.000 0.327 1
Nb2 Nb 0.233 0.000 0.673 1
Nb3 Nb 0.767 0.500 0.827 1
Nb4 Nb 0.233 0.500 0.173 1
Sb1 Sb 0.882 0.000 0.093 1
Sb2 Sb 0.118 0.000 0.907 1
Sb3 Sb 0.882 0.500 0.593 1
Sb4 Sb 0.118 0.500 0.407 1
P1 P 0.533 0.000 0.626 1
P2 P 0.467 0.000 0.374 1
P3 P 0.533 0.500 0.126 1
P4 P 0.467 0.500 0.874 1
# Crystal system = monoclinic

(d)
# NbSbP | the Alexandria database | PBE-GGA | relaxed
data_NbSbP
_space_group_name_H-M_alt 'P 1'
_space_group_IT_number 1
_cell_length_a 3.588
_cell_length_b 3.588
_cell_length_c 19.060
_cell_angle_alpha 90.00
_cell_angle_beta 90.00
_cell_angle_gamma 90.00
loop_
_space_group_symop_operation_xyz
'x,y,z'
loop_
_atom_site_label
_atom_site_type_symbol
_atom_site_fract_x
_atom_site_fract_y
_atom_site_fract_z
_atom_site_occupancy
Nb1 Nb 0.000 0.000 0.846 1
Nb2 Nb 0.000 0.000 0.154 1
Nb3 Nb 0.500 0.500 0.346 1
Nb4 Nb 0.500 0.500 0.654 1
Sb1 Sb 0.000 0.000 0.578 1
Sb2 Sb 0.000 0.000 0.422 1
Sb3 Sb 0.500 0.500 0.078 1
Sb4 Sb 0.500 0.500 0.922 1
P1 P 0.000 0.500 0.250 1
P2 P 0.000 0.500 0.750 1
P3 P 0.500 0.000 0.750 1
P4 P 0.500 0.000 0.250 1
# Crystal system = tetragonal

Preferred: (b); penalty for the next structure: 0.033 eV/atom.

(a)
# NbSbP | the Alexandria database | PBE-GGA | relaxed
data_NbSbP
_space_group_name_H-M_alt 'P 1'
_space_group_IT_number 1
_cell_length_a 4.940
_cell_length_b 3.770
_cell_length_c 7.034
_cell_angle_alpha 90.00
_cell_angle_beta 106.87
_cell_angle_gamma 90.00
loop_
_space_group_symop_operation_xyz
'x,y,z'
loop_
_atom_site_label
_atom_site_type_symbol
_atom_site_fract_x
_atom_site_fract_y
_atom_site_fract_z
_atom_site_occupancy
Nb1 Nb 0.302 0.250 0.607 1
Nb2 Nb 0.698 0.750 0.393 1
Sb1 Sb 0.744 0.250 0.055 1
Sb2 Sb 0.256 0.750 0.945 1
P1 P 0.811 0.250 0.637 1
P2 P 0.189 0.750 0.363 1
# Crystal system = monoclinic

(b)
# NbSbP | the Alexandria database | PBE-GGA | relaxed
data_NbSbP
_space_group_name_H-M_alt 'P 1'
_space_group_IT_number 1
_cell_length_a 3.388
_cell_length_b 3.388
_cell_length_c 9.783
_cell_angle_alpha 90.00
_cell_angle_beta 90.00
_cell_angle_gamma 90.00
loop_
_space_group_symop_operation_xyz
'x,y,z'
loop_
_atom_site_label
_atom_site_type_symbol
_atom_site_fract_x
_atom_site_fract_y
_atom_site_fract_z
_atom_site_occupancy
Nb1 Nb 0.000 0.000 0.117 1
Nb2 Nb 0.500 0.500 0.617 1
Sb1 Sb 0.000 0.000 0.429 1
Sb2 Sb 0.500 0.500 0.929 1
P1 P 0.000 0.000 0.721 1
P2 P 0.500 0.500 0.221 1
# Crystal system = tetragonal

Preferred: (b); penalty for the next structure: 0.009 eV/atom.

(a)
# ScNbP3 | the Alexandria database | PBE-GGA | relaxed
data_ScNbP3
_space_group_name_H-M_alt 'P 1'
_space_group_IT_number 1
_cell_length_a 4.738
_cell_length_b 4.738
_cell_length_c 4.738
_cell_angle_alpha 90.00
_cell_angle_beta 90.00
_cell_angle_gamma 90.00
loop_
_space_group_symop_operation_xyz
'x,y,z'
loop_
_atom_site_label
_atom_site_type_symbol
_atom_site_fract_x
_atom_site_fract_y
_atom_site_fract_z
_atom_site_occupancy
Sc1 Sc 0.000 0.000 0.000 1
P1 P 0.000 0.500 0.000 1
P2 P 0.000 0.000 0.500 1
P3 P 0.500 0.000 0.000 1
Nb1 Nb 0.500 0.500 0.500 1
# Crystal system = cubic

(b)
# ScNbP3 | the Alexandria database | PBE-GGA | relaxed
data_ScNbP3
_space_group_name_H-M_alt 'P 1'
_space_group_IT_number 1
_cell_length_a 4.779
_cell_length_b 4.779
_cell_length_c 4.779
_cell_angle_alpha 90.00
_cell_angle_beta 90.00
_cell_angle_gamma 90.00
loop_
_space_group_symop_operation_xyz
'x,y,z'
loop_
_atom_site_label
_atom_site_type_symbol
_atom_site_fract_x
_atom_site_fract_y
_atom_site_fract_z
_atom_site_occupancy
Sc1 Sc 0.500 0.500 0.500 1
P1 P 0.000 0.500 0.000 1
P2 P 0.000 0.000 0.500 1
P3 P 0.500 0.000 0.000 1
Nb1 Nb 0.000 0.000 0.000 1
# Crystal system = cubic

Preferred: (b); penalty for the next structure: 0.801 eV/atom.